Compound: Li2ZnAu
Source: Alexandria via LeMat-Bulk
Functional: PBEsol
Structure: relaxed

Lattice parameters (Å, degrees): 2.857 4.671 4.737 100.89 107.55 90.00
Element x y z (fractional)
Li 0.009 0.004 0.018
Li 0.243 0.750 0.486
Zn 0.496 0.488 0.993
Au 0.752 0.257 0.503

Values from the calculation:
Energy of formation: -0.3422 eV per atom
V: 59.07 Å³ per cell
Energy: -10.81 eV per formula unit